Entry 1:
Crystalline GdPtPb2 at its relaxed geometry, computed with PBE.

The crystal system is trigonal. For the energy relative to the elements, the calculation gives 0.0 eV/f.u. For the calculated density, the calculation gives 10.96 g/cm3. The total magnetization is 7.52 μB per formula unit. For the total energy, the calculation gives -82.51 eV for the cell shown.

Cell: 3.6244 3.6244 30.6256 Å, 90.00 90.00 120.00°
With the nearest neighbours (Å) after each atom.
Space group R-3m (No. 166, hexagonal axes)
Symmetry-distinct sites (fractional):
Gd 0.0000 0.0000 0.0000 x3  2 Pb 3.20
Pt 0.0000 0.0000 0.5000 x3  6 Pb 2.83
Pb 0.0000 0.0000 0.1044 x6  3 Pt 2.83

Entry 2:
Crystalline Gd2PtPb at its relaxed geometry, computed with PBE.

The crystal system is trigonal. For the energy relative to the elements, the calculation gives -3.0 eV/f.u. For the calculated density, the calculation gives 10.38 g/cm3. The total magnetization is 14.36 μB per formula unit. For the total energy, the calculation gives -122.83 eV for the cell shown.

Cell: 3.9792 3.9792 25.0834 Å, 90.00 90.00 120.00°
With the nearest neighbours (Å) after each atom.
Space group R-3m (No. 166, hexagonal axes)
Symmetry-distinct sites (fractional):
Gd 0.0000 0.0000 0.2338 x6  3 Pt 2.85
Pt 0.0000 0.0000 0.5000 x3  6 Gd 2.85
Pb 0.0000 0.0000 0.0000 x3  6 Gd 3.39

Entry 3:
Crystalline GdPtPb at its relaxed geometry, computed with PBE.

The crystal system is hexagonal. For the energy relative to the elements, the calculation gives -2.2 eV/f.u. For the calculated density, the calculation gives 13.00 g/cm3. The total magnetization is 7.08 μB per formula unit. For the total energy, the calculation gives -26.01 eV for the cell shown.

Cell: 4.7682 4.7682 3.6294 Å, 90.00 90.00 120.00°
With the nearest neighbours (Å) after each atom.
Space group P-6m2 (No. 187)
Symmetry-distinct sites (fractional):
Gd 0.0000 0.0000 0.0000 x1  6 Pb 3.30, 6 Pt 3.30, 2 Gd 3.63
Pt 0.3333 0.6667 0.5000 x1  3 Pb 2.75
Pb 0.6667 0.3333 0.5000 x1  3 Pt 2.75